Entry from Alexandria: a geometry-optimized Dy2Ho3Al3 structure (PBE-GGA).

Values from the calculation:
Formation energy from the elements in kJ/mol of atoms: -27
Polymorph energy (0 for the lowest one) in meV/atom: 22
Total energy in eV per atom: -4.55
Volume in Å³/atom: 25.04
Mass density in Mg/m³: 7.47

a b c (Å): 4.771 4.773 8.797
angles (deg): 90.00 90.00 90.00
Space group Pmmm (No. 47)
One atom of each set of equivalent atoms:
Dy1 0.000 0.000 0.228 [2 per cell]
Ho1 0.000 0.500 0.500 [1 per cell]
Ho2 0.500 0.500 0.226 [2 per cell]
Al1 0.000 0.500 0.000 [1 per cell]
Al2 0.500 0.000 0.000 [1 per cell]
Al3 0.500 0.000 0.500 [1 per cell]